# 1
Density functional theory data (SCAN) for a PBEsol-optimized structure of NaZrCl2.

Lattice parameters (Å, degrees): 4.6365 4.6365 4.6365 60.00 60.00 60.00
With the nearest neighbours (Å) after each atom.
Fractional coordinates of all 4 atoms:
Cl  0.7500  0.7500  0.7500  4 Zr 2.84, 4 Na 2.84
Cl  0.2500  0.2500  0.2500  4 Na 2.84, 4 Zr 2.84
Na  0.0000  0.0000  0.0000  8 Cl 2.84
Zr  0.5000  0.5000  0.5000  8 Cl 2.84

Calculated values
ΔE_f (raw) = -819.5 meV/atom
Mass density = 4.36 g/cm³

# 2
Density functional theory data (SCAN) for a PBEsol-optimized structure of KSr3Ir.

Lattice parameters (Å, degrees): 5.9449 5.9449 5.9449 90.00 90.00 90.00
With the nearest neighbours (Å) after each atom.
Fractional coordinates of all 5 atoms:
Sr  0.0000  0.0000  0.5000  2 Ir 2.97
Sr  0.0000  0.5000  0.0000  2 Ir 2.97
Sr  0.5000  0.0000  0.0000  2 Ir 2.97
Ir  0.0000  0.0000  0.0000  6 Sr 2.97
K  0.5000  0.5000  0.5000  12 Sr 4.20

Calculated values
Energy relative to the elements = -57 kJ/mol of formula units
Mass density = 3.91 g/cm³

# 3
Density functional theory data (SCAN) for a PBEsol-optimized structure of ThTe2I2.

Lattice parameters (Å, degrees): 7.5774 8.0567 7.6815 82.80 74.54 61.95
With the nearest neighbours (Å) after each atom.
Fractional coordinates of all 10 atoms:
Te  0.8977  0.0000  0.8325  1 Te 2.77
Te  0.1023  0.0000  0.1675  1 Te 2.77
Te  0.3331  0.0000  0.3936  1 Te 2.77
Te  0.6669  0.0000  0.6064  1 Te 2.77
Th  0.1433  0.7133  0.5000  4 I 3.14-3.17, 4 Te 3.18-3.20
Th  0.8567  0.2867  0.5000  4 I 3.14-3.17, 4 Te 3.18-3.20
I  0.9599  0.5834  0.2485  2 Th 3.14-3.17
I  0.5434  0.4166  0.2485  2 Th 3.14-3.17
I  0.4566  0.5834  0.7515  2 Th 3.14-3.17
I  0.0401  0.4166  0.7515  2 Th 3.14-3.17

Calculated values
ΔE_f (raw) = -1075.2 meV/atom
Mass density = 6.17 g/cm³

# 4
Density functional theory data (SCAN) for a PBEsol-optimized structure of Li4Cr3Sn5O16.

Lattice parameters (Å, degrees): 6.0828 6.0828 9.7872 90.56 90.56 60.27
With the nearest neighbours (Å) after each atom.
Fractional coordinates of all 28 atoms:
O  0.5253  0.9652  0.6593  1 Cr 2.02, 1 Li 2.06, 2 Sn 2.10-2.19
O  0.1530  0.6815  0.8983  1 Li 1.95, 1 Cr 2.04, 2 Sn 2.10-2.14
O  0.4925  0.0354  0.1633  1 Li 1.99, 1 Cr 1.99, 2 Sn 2.10-2.18
O  0.3173  0.8360  0.4042  1 Li 1.98, 1 Cr 2.04, 2 Sn 2.09-2.11
O  0.4838  0.4838  0.1725  2 Cr 2.00, 1 Li 2.06, 1 Sn 2.16
O  0.0354  0.4925  0.1633  1 Li 1.99, 1 Cr 1.99, 2 Sn 2.10-2.18
O  0.9652  0.5253  0.6593  1 Cr 2.02, 1 Li 2.06, 2 Sn 2.10-2.19
O  0.8360  0.3173  0.4042  1 Li 1.98, 1 Cr 2.04, 2 Sn 2.09-2.11
O  0.6744  0.6744  0.8967  1 Cr 2.00, 2 Sn 2.08, 1 Li 2.10
O  0.8387  0.8387  0.3944  1 Li 1.89, 2 Cr 2.05, 1 Sn 2.06
O  0.9933  0.9933  0.1941  1 Li 1.79, 2 Cr 1.98
O  0.5168  0.5168  0.6536  1 Li 1.99, 3 Sn 2.10-2.21
O  0.1593  0.1593  0.9082  3 Sn 2.10-2.15, 1 Li 2.11
O  0.6815  0.1530  0.8983  1 Li 1.95, 1 Cr 2.04, 2 Sn 2.10-2.14
O  0.9928  0.9928  0.6837  1 Li 1.79, 1 Cr 1.97
O  0.3404  0.3404  0.3923  2 Cr 1.99, 1 Li 1.99, 1 Sn 2.07
Li  0.9895  0.9895  0.5005  4 O 1.79-1.98
Li  0.9845  0.9845  0.0117  3 O 1.79-1.95
Li  0.6708  0.6708  0.1115  4 O 1.99-2.10
Li  0.3354  0.3354  0.5953  4 O 1.99-2.06
Sn  0.3379  0.8326  0.7847  6 O 2.07-2.10
Sn  0.8326  0.3379  0.7847  6 O 2.07-2.10
Sn  0.1694  0.1694  0.2864  6 O 2.05-2.11
Sn  0.6709  0.6709  0.5016  6 O 2.06-2.21
Sn  0.3399  0.3399  0.0140  6 O 2.14-2.18
Cr  0.8310  0.8310  0.7832  6 O 1.97-2.04
Cr  0.1709  0.6603  0.2865  6 O 1.98-2.05
Cr  0.6603  0.1709  0.2865  6 O 1.98-2.05

Calculated values
ΔE_f (raw) = -2062.0 meV/atom
Mass density = 5.46 g/cm³